Below is an optimized crystal structure of AgIr2, with properties calculated at the PBE-GGA level.

abc: 2.719 4.654 16.315
angles: 90.00 90.00 90.00
Space group Imma (No. 74)
One atom of each set of equivalent atoms:
Ag 0.000 0.250 0.133
Ir 0.000 0.250 0.531
Ir 0.000 0.250 0.685

Output
Energy above the lowest structure with this stoichiometry: 316.5 meV/atom
Total magnetic moment: 0.000 μB per atom
Calculated formation energy: 12.7 kcal/mol of atoms